[1]
# Sr2SnPdN

Sr2SnPdN after structural relaxation (PBE, Alexandria).

Output
Raw formation energy (meV per atom): -438
Calculated total energy (eV/cell): -23.073

abc: 5.625 5.625 3.902
angles: 90.00 90.00 90.00
Space group P4/mmm (No. 123)
Asymmetric unit:
Sr (0.000, 0.500, 0.000) (multiplicity 2)
Sn (0.000, 0.000, 0.500) (multiplicity 1)
Pd (0.500, 0.500, 0.500) (multiplicity 1)
N (0.500, 0.500, 0.000) (multiplicity 1)

=====

[2]
# Sc2Hg2I

Sc2Hg2I after structural relaxation (PBE, Alexandria).

Output
Raw formation energy (meV per atom): -134
Calculated total energy (eV/cell): -30.974
Offset from the most stable computed form (eV/atom): 0.230

abc: 4.087 4.087 15.572
angles: 90.00 90.00 90.00
Space group I4/mmm (No. 139)
Asymmetric unit:
Sc (0.000, 0.000, 0.106) (multiplicity 4)
Hg (0.000, 0.500, 0.250) (multiplicity 4)
I (0.000, 0.000, 0.500) (multiplicity 2)

=====

[3]
# ScTa2Ag

ScTa2Ag after structural relaxation (PBE, Alexandria).

Output
ΔH_f (0 K) (eV/atom): 0.578
Calculated total energy (eV/cell): -122.299
Offset from the most stable computed form (eV/atom): 0.479

abc: 6.680 6.680 6.680
angles: 90.00 90.00 90.00
Space group Fm-3m (No. 225)
Asymmetric unit:
Sc (0.000, 0.000, 0.000) (multiplicity 4)
Ta (0.250, 0.250, 0.250) (multiplicity 8)
Ag (0.000, 0.000, 0.500) (multiplicity 4)

=====

[4]
# LiPmScHg

LiPmScHg after structural relaxation (PBE, Alexandria).

Output
ΔH_f (0 K) (eV/atom): -0.182
Calculated total energy (eV/cell): -56.104

abc: 7.288 7.288 7.288
angles: 90.00 90.00 90.00
Space group F-43m (No. 216)
Asymmetric unit:
Li (0.000, 0.000, 0.000) (multiplicity 4)
Pm (0.250, 0.250, 0.250) (multiplicity 4)
Sc (0.250, 0.250, 0.750) (multiplicity 4)
Hg (0.000, 0.000, 0.500) (multiplicity 4)

=====

[5]
# Tb12Pr3Dy

Tb12Pr3Dy after structural relaxation (PBE, Alexandria).

Output
ΔH_f (0 K) (eV/atom): 0.019
Calculated total energy (eV/cell): -74.204

abc: 5.074 5.074 20.289
angles: 90.00 90.00 90.00
Space group P4/mmm (No. 123)
Asymmetric unit:
Tb (0.000, 0.000, 0.000) (multiplicity 1)
Tb (0.000, 0.000, 0.248) (multiplicity 2)
Tb (0.000, 0.000, 0.500) (multiplicity 1)
Tb (0.000, 0.500, 0.123) (multiplicity 4)
Tb (0.000, 0.500, 0.374) (multiplicity 4)
Pr (0.500, 0.500, 0.249) (multiplicity 2)
Pr (0.500, 0.500, 0.500) (multiplicity 1)
Dy (0.500, 0.500, 0.000) (multiplicity 1)

=====

[6]
# PuHf2Sc3N6

PuHf2Sc3N6 after structural relaxation (PBE, Alexandria).

Output
Raw formation energy (meV per atom): -1774
Calculated total energy (eV/cell): -248.950

abc: 14.148 3.249 6.503
angles: 90.00 102.87 90.00
Space group C2/m (No. 12)
Asymmetric unit:
Pu (0.000, 0.000, 0.000) (multiplicity 2)
Hf (0.168, 0.500, 0.336) (multiplicity 4)
Sc (0.000, 0.000, 0.500) (multiplicity 2)
Sc (0.168, 0.500, 0.832) (multiplicity 4)
N (0.004, 0.500, 0.263) (multiplicity 4)
N (0.169, 0.000, 0.580) (multiplicity 4)
N (0.172, 0.000, 0.094) (multiplicity 4)

=====

[7]
# LiPmGe2

LiPmGe2 after structural relaxation (PBE, Alexandria).

Output
ΔH_f (0 K) (eV/atom): -0.388
Calculated total energy (eV/cell): -69.805
Offset from the most stable computed form (eV/atom): 0.277

abc: 6.998 6.998 6.998
angles: 90.00 90.00 90.00
Space group Fm-3m (No. 225)
Asymmetric unit:
Li (0.000, 0.000, 0.000) (multiplicity 4)
Pm (0.000, 0.000, 0.500) (multiplicity 4)
Ge (0.250, 0.250, 0.250) (multiplicity 8)

=====

[8]
# NbH2Cl

NbH2Cl after structural relaxation (PBE, Alexandria).

Output
Calculated total energy (eV/cell): -63.870
Offset from the most stable computed form (eV/atom): 0.693

abc: 5.462 5.462 5.462
angles: 90.00 90.00 90.00
Space group Fm-3m (No. 225)
Asymmetric unit:
Nb (0.000, 0.000, 0.000) (multiplicity 4)
H (0.250, 0.250, 0.250) (multiplicity 8)
Cl (0.000, 0.000, 0.500) (multiplicity 4)

=====

[9]
# Mn2GaBr6

Mn2GaBr6 after structural relaxation (PBE, Alexandria).

Output
Raw formation energy (meV per atom): -684
Calculated total energy (eV/cell): -150.229

abc: 14.746 14.735 6.875
angles: 90.00 113.62 90.00
Space group C2/c (No. 15)
Asymmetric unit:
Mn (0.221, 0.077, 0.357) (multiplicity 8)
Ga (0.000, 0.289, 0.250) (multiplicity 4)
Br (0.105, 0.388, 0.582) (multiplicity 8)
Br (0.112, 0.195, 0.116) (multiplicity 8)
Br (0.184, 0.077, 0.685) (multiplicity 8)

=====

[10]
# YMo2W

YMo2W after structural relaxation (PBE, Alexandria).

Output
ΔH_f (0 K) (eV/atom): 0.307
Calculated total energy (eV/cell): -39.852
Offset from the most stable computed form (eV/atom): 0.038

abc: 3.198 3.198 7.361
angles: 90.00 90.00 90.00
Space group P4mm (No. 99)
Asymmetric unit:
Y (0.000, 0.000, 0.000) (multiplicity 1)
Mo (0.000, 0.000, 0.500) (multiplicity 1)
Mo (0.500, 0.500, 0.298) (multiplicity 1)
W (0.500, 0.500, 0.704) (multiplicity 1)

=====

[11]
# YWN3

YWN3 after structural relaxation (PBE, Alexandria).

Output
Raw formation energy (meV per atom): -999
Calculated total energy (eV/cell): -395.112

abc: 11.188 9.645 6.309
angles: 90.00 112.16 90.00
Space group C2/c (No. 15)
Asymmetric unit:
Y (0.000, 0.090, 0.250) (multiplicity 4)
Y (0.000, 0.289, 0.750) (multiplicity 4)
W (0.209, 0.411, 0.225) (multiplicity 8)
N (0.111, 0.108, 0.655) (multiplicity 8)
N (0.130, 0.245, 0.160) (multiplicity 8)
N (0.145, 0.489, 0.927) (multiplicity 8)

=====

[12]
# TlTeW2Se

TlTeW2Se after structural relaxation (PBE, Alexandria).

Output
Raw formation energy (meV per atom): 2706
Calculated total energy (eV/cell): -21.368

abc: 5.307 5.307 5.477
angles: 90.00 90.00 90.00
Space group P4/mmm (No. 123)
Asymmetric unit:
Tl (0.000, 0.000, 0.000) (multiplicity 1)
Te (0.000, 0.000, 0.500) (multiplicity 1)
W (0.000, 0.500, 0.000) (multiplicity 2)
Se (0.500, 0.500, 0.500) (multiplicity 1)